Compound: CrBi2Pd
Source: Alexandria via LeMat-Bulk
Functional: PBE-GGA
Structure: optimized geometry

Properties
Relative energy among the computed polymorphs, meV per atom: 225
Total magnetization, μB per formula unit: 0.000
DFT formation energy, eV/atom: 0.509
D(E_F), states/eV/f.u.: 7.99

Cell and atoms, written as CIF:
```
data_CrBi2Pd
_cell_length_a 6.918
_cell_length_b 6.918
_cell_length_c 6.918
_cell_angle_alpha 90.00
_cell_angle_beta 90.00
_cell_angle_gamma 90.00
_space_group_name_H-M_alt 'F m -3 m'
_space_group_IT_number 225
_space_group_name_Hall '-F 4 2 3'
loop_
_atom_site_label
_atom_site_type_symbol
_atom_site_fract_x
_atom_site_fract_y
_atom_site_fract_z
Cr1 Cr 0.000 0.000 0.000
Bi1 Bi 0.250 0.250 0.250
Pd1 Pd 0.000 0.000 0.500
```

Compound: Tl2NiTe
Source: Alexandria via LeMat-Bulk
Functional: PBE-GGA
Structure: optimized geometry

Properties
Relative energy among the computed polymorphs, meV per atom: 143
Total magnetization, μB per formula unit: 0.000
D(E_F), states/eV/f.u.: 2.27
Energy relative to the elements, uncorrected, meV/atom: 60.3

Cell and atoms, written as CIF:
```
data_Tl2NiTe
_cell_length_a 3.442
_cell_length_b 4.330
_cell_length_c 14.480
_cell_angle_alpha 90.00
_cell_angle_beta 90.00
_cell_angle_gamma 90.00
_space_group_name_H-M_alt 'I m m 2'
_space_group_IT_number 44
loop_
_space_group_symop_operation_xyz
'x,y,z'
'-x,-y,z'
'-x,y,z'
'x,-y,z'
'x+1/2,y+1/2,z+1/2'
'-x+1/2,-y+1/2,z+1/2'
'-x+1/2,y+1/2,z+1/2'
'x+1/2,-y+1/2,z+1/2'
loop_
_atom_site_label
_atom_site_type_symbol
_atom_site_fract_x
_atom_site_fract_y
_atom_site_fract_z
Tl1 Tl 0.000 0.000 0.000
Tl2 Tl 0.000 0.500 0.179
Ni1 Ni 0.000 0.000 0.445
Te1 Te 0.000 0.500 0.821
```

Compound: Li2AcGe2
Source: Alexandria via LeMat-Bulk
Functional: PBE-GGA
Structure: optimized geometry

Properties
Total magnetization, μB per formula unit: 0.000
DFT formation energy, eV/atom: -0.567
D(E_F), states/eV/f.u.: 1.85

Cell and atoms, written as CIF:
```
data_Li2AcGe2
_cell_length_a 4.415
_cell_length_b 4.415
_cell_length_c 11.179
_cell_angle_alpha 90.00
_cell_angle_beta 90.00
_cell_angle_gamma 90.00
_space_group_name_H-M_alt 'I 4/m m m'
_space_group_IT_number 139
_space_group_name_Hall '-I 4 2'
loop_
_atom_site_label
_atom_site_type_symbol
_atom_site_fract_x
_atom_site_fract_y
_atom_site_fract_z
Li1 Li 0.000 0.500 0.250
Ac1 Ac 0.000 0.000 0.000
Ge1 Ge 0.000 0.000 0.386
```

Compound: ZrAlSe2
Source: Alexandria via LeMat-Bulk
Functional: PBE-GGA
Structure: optimized geometry

Properties
Total magnetization, μB per formula unit: 0.000
D(E_F), states/eV/f.u.: 2.04
Energy relative to the elements, uncorrected, meV/atom: -763.8

Cell and atoms, written as CIF:
```
data_ZrAlSe2
_cell_length_a 3.6714
_cell_length_b 3.6714
_cell_length_c 21.7129
_cell_angle_alpha 90.00
_cell_angle_beta 90.00
_cell_angle_gamma 120.00
_space_group_name_H-M_alt 'R -3 m'
_space_group_IT_number 166
_space_group_name_Hall '-R 3 2"'
loop_
_atom_site_label
_atom_site_type_symbol
_atom_site_fract_x
_atom_site_fract_y
_atom_site_fract_z
Zr1 Zr 0.0000 0.0000 0.0000
Al1 Al 0.0000 0.0000 0.5000
Se1 Se 0.0000 0.0000 0.2499
```

Compound: Tl12Sn3F5
Source: Alexandria via LeMat-Bulk
Functional: PBE-GGA
Structure: optimized geometry

Properties
Total magnetization, μB per formula unit: 0.000
D(E_F), states/eV/f.u.: 9.46
Energy relative to the elements, uncorrected, meV/atom: -694.1

Cell and atoms, written as CIF:
```
data_Tl12Sn3F5
_cell_length_a 17.048
_cell_length_b 17.048
_cell_length_c 17.048
_cell_angle_alpha 90.00
_cell_angle_beta 90.00
_cell_angle_gamma 90.00
_space_group_name_H-M_alt 'I a -3 d'
_space_group_IT_number 230
_space_group_name_Hall '-I 4bd 2c 3'
loop_
_atom_site_label
_atom_site_type_symbol
_atom_site_fract_x
_atom_site_fract_y
_atom_site_fract_z
Tl1 Tl 0.029 0.058 0.649
Sn1 Sn 0.000 0.250 0.125
F1 F 0.000 0.000 0.000
F2 F 0.000 0.250 0.375
```

Compound: ZrZn2Pd
Source: Alexandria via LeMat-Bulk
Functional: PBE-GGA
Structure: optimized geometry

Properties
Total magnetization, μB per formula unit: 0.000
DFT formation energy, eV/atom: -0.453
D(E_F), states/eV/f.u.: 2.21

Cell and atoms, written as CIF:
```
data_ZrZn2Pd
_cell_length_a 6.420
_cell_length_b 6.420
_cell_length_c 6.420
_cell_angle_alpha 90.00
_cell_angle_beta 90.00
_cell_angle_gamma 90.00
_space_group_name_H-M_alt 'F -4 3 m'
_space_group_IT_number 216
_space_group_name_Hall 'F -4 2 3'
loop_
_atom_site_label
_atom_site_type_symbol
_atom_site_fract_x
_atom_site_fract_y
_atom_site_fract_z
Zr1 Zr 0.000 0.000 0.000
Zn1 Zn 0.000 0.000 0.500
Zn2 Zn 0.250 0.250 0.750
Pd1 Pd 0.250 0.250 0.250
```

Compound: LiY2Pb2
Source: Alexandria via LeMat-Bulk
Functional: PBE-GGA
Structure: optimized geometry

Properties
Relative energy among the computed polymorphs, meV per atom: 539
Total magnetization, μB per formula unit: 0.000
DFT formation energy, eV/atom: 0.085
D(E_F), states/eV/f.u.: 3.81

Cell and atoms, written as CIF:
```
data_LiY2Pb2
_cell_length_a 4.469
_cell_length_b 4.469
_cell_length_c 16.282
_cell_angle_alpha 90.00
_cell_angle_beta 90.00
_cell_angle_gamma 90.00
_space_group_name_H-M_alt 'I 4/m m m'
_space_group_IT_number 139
_space_group_name_Hall '-I 4 2'
loop_
_atom_site_label
_atom_site_type_symbol
_atom_site_fract_x
_atom_site_fract_y
_atom_site_fract_z
Li1 Li 0.000 0.000 0.000
Y1 Y 0.000 0.000 0.395
Pb1 Pb 0.000 0.500 0.250
```

Compound: Cs2RbAgI
Source: Alexandria via LeMat-Bulk
Functional: PBE-GGA
Structure: optimized geometry

Properties
Total magnetization, μB per formula unit: 0.000
D(E_F), states/eV/f.u.: 4.68
Energy relative to the elements, uncorrected, meV/atom: -392.4

Cell and atoms, written as CIF:
```
data_Cs2RbAgI
_cell_length_a 7.052
_cell_length_b 7.052
_cell_length_c 6.779
_cell_angle_alpha 90.00
_cell_angle_beta 90.00
_cell_angle_gamma 90.00
_space_group_name_H-M_alt 'P 4/m m m'
_space_group_IT_number 123
_space_group_name_Hall '-P 4 2'
loop_
_atom_site_label
_atom_site_type_symbol
_atom_site_fract_x
_atom_site_fract_y
_atom_site_fract_z
Cs1 Cs 0.000 0.500 0.000
Rb1 Rb 0.000 0.000 0.500
Ag1 Ag 0.000 0.000 0.000
I1 I 0.500 0.500 0.500
```

Please write out number 2 again, unchanged.
Compound: Tl2NiTe
Source: Alexandria via LeMat-Bulk
Functional: PBE-GGA
Structure: optimized geometry

Properties
Relative energy among the computed polymorphs, meV per atom: 143
Total magnetization, μB per formula unit: 0.000
D(E_F), states/eV/f.u.: 2.27
Energy relative to the elements, uncorrected, meV/atom: 60.3

Cell and atoms, written as CIF:
```
data_Tl2NiTe
_cell_length_a 3.442
_cell_length_b 4.330
_cell_length_c 14.480
_cell_angle_alpha 90.00
_cell_angle_beta 90.00
_cell_angle_gamma 90.00
_space_group_name_H-M_alt 'I m m 2'
_space_group_IT_number 44
loop_
_space_group_symop_operation_xyz
'x,y,z'
'-x,-y,z'
'-x,y,z'
'x,-y,z'
'x+1/2,y+1/2,z+1/2'
'-x+1/2,-y+1/2,z+1/2'
'-x+1/2,y+1/2,z+1/2'
'x+1/2,-y+1/2,z+1/2'
loop_
_atom_site_label
_atom_site_type_symbol
_atom_site_fract_x
_atom_site_fract_y
_atom_site_fract_z
Tl1 Tl 0.000 0.000 0.000
Tl2 Tl 0.000 0.500 0.179
Ni1 Ni 0.000 0.000 0.445
Te1 Te 0.000 0.500 0.821
```

> What is the total magnetization in the second record?

0.000 μB per formula unit

Copy entry 6 word for word.
Compound: ZrZn2Pd
Source: Alexandria via LeMat-Bulk
Functional: PBE-GGA
Structure: optimized geometry

Properties
Total magnetization, μB per formula unit: 0.000
DFT formation energy, eV/atom: -0.453
D(E_F), states/eV/f.u.: 2.21

Cell and atoms, written as CIF:
```
data_ZrZn2Pd
_cell_length_a 6.420
_cell_length_b 6.420
_cell_length_c 6.420
_cell_angle_alpha 90.00
_cell_angle_beta 90.00
_cell_angle_gamma 90.00
_space_group_name_H-M_alt 'F -4 3 m'
_space_group_IT_number 216
_space_group_name_Hall 'F -4 2 3'
loop_
_atom_site_label
_atom_site_type_symbol
_atom_site_fract_x
_atom_site_fract_y
_atom_site_fract_z
Zr1 Zr 0.000 0.000 0.000
Zn1 Zn 0.000 0.000 0.500
Zn2 Zn 0.250 0.250 0.750
Pd1 Pd 0.250 0.250 0.250
```

Repeat the fourth record exactly.
Compound: ZrAlSe2
Source: Alexandria via LeMat-Bulk
Functional: PBE-GGA
Structure: optimized geometry

Properties
Total magnetization, μB per formula unit: 0.000
D(E_F), states/eV/f.u.: 2.04
Energy relative to the elements, uncorrected, meV/atom: -763.8

Cell and atoms, written as CIF:
```
data_ZrAlSe2
_cell_length_a 3.6714
_cell_length_b 3.6714
_cell_length_c 21.7129
_cell_angle_alpha 90.00
_cell_angle_beta 90.00
_cell_angle_gamma 120.00
_space_group_name_H-M_alt 'R -3 m'
_space_group_IT_number 166
_space_group_name_Hall '-R 3 2"'
loop_
_atom_site_label
_atom_site_type_symbol
_atom_site_fract_x
_atom_site_fract_y
_atom_site_fract_z
Zr1 Zr 0.0000 0.0000 0.0000
Al1 Al 0.0000 0.0000 0.5000
Se1 Se 0.0000 0.0000 0.2499
```